## w
RbCaMg14 | PBE-GGA | relaxed

The structure belongs to space group P-6m2 (No. 187); the cell edges are 6.7349, 6.7349 and 10.7313 Å and the angles 90.00°, 90.00° and 120.00°. The asymmetric unit holds Rb at (0.0000, 0.0000, 0.0000), Ca at (0.0000, 0.0000, 0.5000), Mg at (0.0039, 0.5019, 0.5000), Mg at (0.0090, 0.5045, 0.0000), Mg at (0.1755, 0.3511, 0.2565) and Mg at (0.6667, 0.3333, 0.2467).

Its size of the total moment is 0.000 μB per cell.



## x
RbCaMg14 | PBE-GGA | relaxed

The structure belongs to space group Amm2 (No. 38); the cell edges are 10.8327, 6.5221 and 11.8345 Å and the angles 90.00°, 90.00° and 90.00°. The asymmetric unit holds Rb at (0.0000, 0.0000, 0.0000), Ca at (0.0000, 0.0000, 0.4910), Mg at (0.0000, 0.2475, 0.7477), Mg at (0.2509, 0.0000, 0.6615), Mg at (0.2626, 0.0000, 0.1680), Mg at (0.2693, 0.2478, 0.4062), Mg at (0.5000, 0.0000, 0.9999), Mg at (0.5000, 0.0000, 0.5001) and Mg at (0.5000, 0.2468, 0.7452).

Its size of the total moment is 0.000 μB per cell.



Stability, lowest: x



## w
CaMgRe | PBE-GGA | relaxed

The structure belongs to space group F-43m (No. 216); the cell edges are 6.8477, 6.8477 and 6.8477 Å and the angles 90.00°, 90.00° and 90.00°. The asymmetric unit holds Ca at (0.0000, 0.0000, 0.0000), Mg at (0.2500, 0.2500, 0.7500) and Re at (0.2500, 0.2500, 0.2500).

Its size of the total moment is 10.742 μB per cell.



## x
CaMgRe | PBE-GGA | relaxed

The structure belongs to space group I4mm (No. 107); the cell edges are 2.8573, 2.8573 and 14.8189 Å and the angles 90.00°, 90.00° and 90.00°. The asymmetric unit holds Ca at (0.0000, 0.0000, 0.0000), Mg at (0.0000, 0.0000, 0.3052) and Re at (0.0000, 0.0000, 0.6621).

Its size of the total moment is 0.001 μB per cell.



Stability, lowest: w



## w
CaMgRe | PBE-GGA | relaxed

The structure belongs to space group P3m1 (No. 156); the cell edges are 4.9866, 4.9866 and 2.7497 Å and the angles 90.00°, 90.00° and 120.00°. The asymmetric unit holds Ca at (0.0000, 0.0000, 0.0000), Mg at (0.3333, 0.6667, 0.3589) and Re at (0.6667, 0.3333, 0.5853).

Its size of the total moment is 0.001 μB per cell.



## x
CaMgRe | PBE-GGA | relaxed

The structure belongs to space group Fmm2 (No. 42); the cell edges are 3.7716, 4.3459 and 14.8357 Å and the angles 90.00°, 90.00° and 90.00°. The asymmetric unit holds Ca at (0.0000, 0.0000, 0.0000), Mg at (0.0000, 0.0000, 0.3028) and Re at (0.0000, 0.0000, 0.6600).

Its size of the total moment is 0.000 μB per cell.



Stability, lowest: w